No. 1
Compound: KYTlRu2
Source: the Alexandria database
Functional: PBE
Structure: optimized geometry

**Crystal system**: tetragonal
**DOS(E_F)**: 6.302 states/eV/f.u.
**Energy of formation**: 1.399 eV per atom
**Electronic total energy**: -4.297 eV per atom

Lattice parameters (Å, degrees): 5.1746 5.1746 5.5765 90.00 90.00 90.00
Space group P4/mmm (No. 123)
Unique sites:
K 0.0000 0.0000 0.0000
Y 0.5000 0.5000 0.0000
Tl 0.5000 0.5000 0.5000
Ru 0.0000 0.5000 0.5000

---

No. 2
Compound: KTl2ZnRu
Source: the Alexandria database
Functional: PBE
Structure: optimized geometry

**Crystal system**: tetragonal
**DOS(E_F)**: 1.471 states/eV/f.u.
**Energy of formation**: 0.054 eV per atom
**Electronic total energy**: -3.222 eV per atom

Lattice parameters (Å, degrees): 5.3120 5.3120 5.0096 90.00 90.00 90.00
Space group P4/mmm (No. 123)
Unique sites:
K 0.0000 0.0000 0.0000
Tl 0.0000 0.5000 0.5000
Zn 0.5000 0.5000 0.0000
Ru 0.5000 0.5000 0.5000

---

No. 3
Compound: KV2Ru
Source: the Alexandria database
Functional: PBE
Structure: optimized geometry

**Crystal system**: tetragonal
**DOS(E_F)**: 5.580 states/eV/f.u.
**Energy of formation**: 1.326 eV per atom
**Electronic total energy**: -5.827 eV per atom
**Offset from the most stable computed form**: 99.6 meV/atom

Lattice parameters (Å, degrees): 5.4571 5.4571 15.5607 90.00 90.00 90.00
Space group I4_1/amd (No. 141, origin choice 2)
Unique sites:
K 0.0000 0.2500 0.3750
V 0.0000 0.0000 0.0000
Ru 0.0000 0.2500 0.8750

---

No. 4
Compound: KVRu3
Source: the Alexandria database
Functional: PBE
Structure: optimized geometry

**Crystal system**: cubic
**DOS(E_F)**: 8.060 states/eV/f.u.
**Energy of formation**: 2.860 eV per atom
**Electronic total energy**: -4.748 eV per atom
**Offset from the most stable computed form**: 1646.0 meV/atom

Lattice parameters (Å, degrees): 4.5662 4.5662 4.5662 90.00 90.00 90.00
Space group Pm-3m (No. 221)
Unique sites:
K 0.0000 0.0000 0.0000
V 0.5000 0.5000 0.5000
Ru 0.0000 0.0000 0.5000

---

No. 5
Compound: KVRu3
Source: the Alexandria database
Functional: PBE
Structure: optimized geometry

**Crystal system**: cubic
**DOS(E_F)**: 7.992 states/eV/f.u.
**Energy of formation**: 1.214 eV per atom
**Electronic total energy**: -6.394 eV per atom
**Offset from the most stable computed form**: 0.0 meV/atom

Lattice parameters (Å, degrees): 4.6357 4.6357 4.6357 90.00 90.00 90.00
Space group Pm-3m (No. 221)
Unique sites:
K 0.0000 0.0000 0.0000
V 0.5000 0.5000 0.5000
Ru 0.0000 0.5000 0.5000

---

No. 6
Compound: KV2Ru
Source: the Alexandria database
Functional: PBE
Structure: optimized geometry

**Crystal system**: cubic
**DOS(E_F)**: 4.223 states/eV/f.u.
**Energy of formation**: 1.226 eV per atom
**Electronic total energy**: -5.927 eV per atom
**Offset from the most stable computed form**: 0.0 meV/atom

Lattice parameters (Å, degrees): 6.5376 6.5376 6.5376 90.00 90.00 90.00
Space group Fm-3m (No. 225)
Unique sites:
K 0.0000 0.0000 0.0000
V 0.2500 0.2500 0.2500
Ru 0.0000 0.0000 0.5000

---

No. 7
Compound: K2ZrVRu
Source: the Alexandria database
Functional: PBE
Structure: optimized geometry

**Crystal system**: tetragonal
**DOS(E_F)**: 7.644 states/eV/f.u.
**Energy of formation**: 1.924 eV per atom
**Electronic total energy**: -3.904 eV per atom

Lattice parameters (Å, degrees): 6.6334 6.6334 4.5985 90.00 90.00 90.00
Space group P4/mmm (No. 123)
Unique sites:
K 0.0000 0.5000 0.0000
Zr 0.0000 0.0000 0.0000
V 0.5000 0.5000 0.5000
Ru 0.0000 0.0000 0.5000

---

No. 8
Compound: K2RuW
Source: the Alexandria database
Functional: PBE
Structure: optimized geometry

**Crystal system**: orthorhombic
**DOS(E_F)**: 2.790 states/eV/f.u.
**Energy of formation**: 1.438 eV per atom
**Electronic total energy**: -4.668 eV per atom
**Offset from the most stable computed form**: 659.0 meV/atom

Lattice parameters (Å, degrees): 2.7041 5.3375 5.9156 90.00 90.00 90.00
Space group Pmmm (No. 47)
Unique sites:
K 0.0000 0.2482 0.0000
Ru 0.5000 0.0000 0.5000
W 0.5000 0.5000 0.5000

---

No. 9
Compound: KRuW2
Source: the Alexandria database
Functional: PBE
Structure: optimized geometry

**Crystal system**: tetragonal
**DOS(E_F)**: 2.577 states/eV/f.u.
**Energy of formation**: 0.912 eV per atom
**Electronic total energy**: -8.158 eV per atom
**Offset from the most stable computed form**: 144.1 meV/atom

Lattice parameters (Å, degrees): 2.7987 2.7987 10.0669 90.00 90.00 90.00
Space group P4/mmm (No. 123)
Unique sites:
K 0.0000 0.0000 0.0000
Ru 0.0000 0.0000 0.5000
W 0.5000 0.5000 0.3159

---

No. 10
Compound: K2RuW
Source: the Alexandria database
Functional: PBE
Structure: optimized geometry

**Crystal system**: monoclinic
**DOS(E_F)**: 4.294 states/eV/f.u.
**Energy of formation**: 0.779 eV per atom
**Electronic total energy**: -5.327 eV per atom
**Offset from the most stable computed form**: 0.0 meV/atom

Lattice parameters (Å, degrees): 3.0994 3.7474 10.5202 90.00 90.06 90.00
Space group Pm (No. 6)
Unique sites:
K 0.0000 0.0000 0.0000
K 0.4947 0.5000 0.5853
Ru 0.4922 0.5000 0.2534
W 0.9919 0.0000 0.3253

---

No. 11
Compound: K2RuW
Source: the Alexandria database
Functional: PBE
Structure: optimized geometry

**Crystal system**: orthorhombic
**DOS(E_F)**: 2.324 states/eV/f.u.
**Energy of formation**: 1.438 eV per atom
**Electronic total energy**: -4.668 eV per atom
**Offset from the most stable computed form**: 658.4 meV/atom

Lattice parameters (Å, degrees): 5.3519 11.8041 2.7088 90.00 90.00 90.00
Space group Cmmm (No. 65)
Unique sites:
K 0.2500 0.2500 0.0000
Ru 0.0000 0.0000 0.5000
W 0.0000 0.5000 0.5000

---

No. 12
Compound: K2RuW
Source: the Alexandria database
Functional: PBE
Structure: optimized geometry

**Crystal system**: cubic
**DOS(E_F)**: 4.800 states/eV/f.u.
**Energy of formation**: 1.801 eV per atom
**Electronic total energy**: -4.305 eV per atom
**Offset from the most stable computed form**: 1022.1 meV/atom

Lattice parameters (Å, degrees): 6.9750 6.9750 6.9750 90.00 90.00 90.00
Space group F-43m (No. 216)
Unique sites:
K 0.0000 0.0000 0.0000
K 0.2500 0.2500 0.2500
Ru 0.2500 0.2500 0.7500
W 0.0000 0.0000 0.5000

---

No. 13
Compound: KRuW2
Source: the Alexandria database
Functional: PBE
Structure: optimized geometry

**Crystal system**: tetragonal
**DOS(E_F)**: 4.125 states/eV/f.u.
**Energy of formation**: 1.862 eV per atom
**Electronic total energy**: -7.208 eV per atom
**Offset from the most stable computed form**: 1093.7 meV/atom

Lattice parameters (Å, degrees): 5.0757 5.0757 17.1695 90.00 90.00 90.00
Space group I-42d (No. 122)
Unique sites:
K 0.0000 0.0000 0.0000
Ru 0.0000 0.0000 0.5000
W 0.0093 0.2500 0.6250

---

No. 14
Compound: K2RuW
Source: the Alexandria database
Functional: PBE
Structure: optimized geometry

**Crystal system**: monoclinic
**DOS(E_F)**: 3.244 states/eV/f.u.
**Energy of formation**: 1.410 eV per atom
**Electronic total energy**: -4.696 eV per atom
**Offset from the most stable computed form**: 630.5 meV/atom

Lattice parameters (Å, degrees): 5.5012 11.9804 2.7176 90.00 110.25 90.00
Space group C2/m (No. 12)
Unique sites:
K 0.2500 0.2500 0.0000
Ru 0.0000 0.0000 0.5000
W 0.0000 0.5000 0.5000

---

No. 15
Compound: K2RuW
Source: the Alexandria database
Functional: PBE
Structure: optimized geometry

**Crystal system**: monoclinic
**DOS(E_F)**: 2.998 states/eV/f.u.
**Energy of formation**: 1.408 eV per atom
**Electronic total energy**: -4.698 eV per atom
**Offset from the most stable computed form**: 629.0 meV/atom

Lattice parameters (Å, degrees): 2.7189 5.9917 5.2361 90.00 99.50 90.00
Space group P2/m (No. 10)
Unique sites:
K 0.2230 0.0000 0.2557
Ru 0.0000 0.5000 0.5000
W 0.5000 0.5000 0.0000

---

No. 16
Compound: KRuW2
Source: the Alexandria database
Functional: PBE
Structure: optimized geometry

**Crystal system**: cubic
**DOS(E_F)**: 3.058 states/eV/f.u.
**Energy of formation**: 1.662 eV per atom
**Electronic total energy**: -7.408 eV per atom
**Offset from the most stable computed form**: 893.7 meV/atom

Lattice parameters (Å, degrees): 6.4684 6.4684 6.4684 90.00 90.00 90.00
Space group Fm-3m (No. 225)
Unique sites:
K 0.0000 0.0000 0.0000
Ru 0.0000 0.0000 0.5000
W 0.2500 0.2500 0.2500